# Be5Cd3 | Alexandria via LeMat-Bulk | GGA-PBE | relaxed
# Calculated volume in A^3/atom: 14.42
# Offset from the most stable computed form in eV per atom: 0.118
# DFT formation energy in eV/atom: 0.4785
data_Be5Cd3
_chemical_formula_sum 'Be10 Cd6'
_symmetry_space_group_name_H-M 'P 63/m c m'
_symmetry_Int_Tables_number 193
_symmetry_space_group_name_Hall '-P 6c 2'
_cell_length_a 8.1087
_cell_length_b 8.1087
_cell_length_c 4.0527
_cell_angle_alpha 90.00
_cell_angle_beta 90.00
_cell_angle_gamma 120.00
loop_
_atom_site_label
_atom_site_fract_x
_atom_site_fract_y
_atom_site_fract_z
Be1 0.0000 0.1520 0.2500
Be2 0.3333 0.6667 0.0000
Cd1 0.0000 0.3715 0.7500

# Pr2Er3Tm2 | Alexandria via LeMat-Bulk | GGA-PBE | relaxed
# Calculated volume in A^3/atom: 32.83
# Offset from the most stable computed form in eV per atom: 0.199
# DFT formation energy in eV/atom: 0.2251
data_Pr2Er3Tm2
_chemical_formula_sum 'Pr8 Er12 Tm8'
_symmetry_space_group_name_H-M 'I 21 3'
_symmetry_Int_Tables_number 199
_symmetry_space_group_name_Hall 'I 2b 2c 3'
_cell_length_a 9.723
_cell_length_b 9.723
_cell_length_c 9.723
_cell_angle_alpha 90.00
_cell_angle_beta 90.00
_cell_angle_gamma 90.00
loop_
_atom_site_label
_atom_site_fract_x
_atom_site_fract_y
_atom_site_fract_z
Pr1 0.094 0.406 0.594
Er1 0.000 0.250 0.944
Tm1 0.205 0.205 0.205